DFT (PBE+U) results for an optimized crystal structure of CdCoCu2F.

Output
* uncorrected energy: -2.637 eV per atom
* symmetry: P4/mmm, No. 123

Cell: 4.9240 4.9240 4.2644 Å, 90.00 90.00 90.00°
Last column: nearest neighbours and their distance in Å.
Element x y z (fractional)
Cd1 0.0000 0.0000 0.0000  2 F 2.13
Co1 0.5000 0.5000 0.5000  8 Cu 3.26, 4 F 3.48
Cu1 0.0000 0.5000 0.0000  2 Cd 2.46
Cu2 0.5000 0.0000 0.0000  2 Cd 2.46
F1 0.0000 0.0000 0.5000  2 Cd 2.13